# K2SbIr, relaxed, DFT PBE
data_K2SbIr
_symmetry_space_group_name_H-M 'P 1'
_symmetry_Int_Tables_number 1
_cell_length_a 5.219
_cell_length_b 5.219
_cell_length_c 5.219
_cell_angle_alpha 60.00
_cell_angle_beta 60.00
_cell_angle_gamma 60.00
loop_
_symmetry_equiv_pos_as_xyz
'x,y,z'
loop_
_atom_site_label
_atom_site_type_symbol
_atom_site_fract_x
_atom_site_fract_y
_atom_site_fract_z
K1 K 0.250 0.250 0.250
K2 K 0.000 0.000 0.000
Sb1 Sb 0.750 0.750 0.750
Ir1 Ir 0.500 0.500 0.500
# Magnetization: 0.0 μB/cell
# Final energy: -13.417 eV for the cell shown
# SG: F-43m
# ΔE_f (raw): 440.4 meV/atom